Entry 1:
{"formula": "K3Ce2SnS6", "functional": "PBE", "state": "optimized geometry", "lattice": [[3.649, -6.318, 0.000], [3.649, 6.318, 0.000], [-2.431, 0.000, 7.285]], "species": ["K", "K", "K", "Ce", "Ce", "Sn", "S", "S", "S", "S", "S", "S"], "frac_coords": [[0.000, 0.000, 0.000], [0.339, 0.661, 0.000], [0.661, 0.339, 0.000], [0.167, 0.833, 0.500], [0.833, 0.167, 0.500], [0.500, 0.500, 0.500], [0.084, 0.432, 0.295], [0.221, 0.221, 0.704], [0.432, 0.084, 0.295], [0.568, 0.916, 0.705], [0.779, 0.779, 0.296], [0.916, 0.568, 0.705]], "mass_density_g_cm3": 3.5, "magnetic_moment_mub_per_fu": 1.0, "sg": "C2/m, No. 12", "raw_formation_energy_ev_per_fu": -18.08}

Entry 2:
{"formula": "K2Ce2SnS6", "functional": "PBE", "state": "optimized geometry", "lattice": [[3.582, -6.237, 0.000], [3.582, 6.237, 0.000], [-2.260, 0.000, 7.390]], "species": ["K", "K", "Ce", "Ce", "Sn", "S", "S", "S", "S", "S", "S"], "frac_coords": [[0.161, 0.839, 0.000], [0.839, 0.161, 0.000], [0.335, 0.665, 0.500], [0.665, 0.335, 0.500], [0.000, 0.000, 0.500], [0.058, 0.410, 0.695], [0.283, 0.283, 0.304], [0.410, 0.058, 0.695], [0.590, 0.942, 0.305], [0.717, 0.717, 0.696], [0.942, 0.590, 0.305]], "mass_density_g_cm3": 3.4, "magnetic_moment_mub_per_fu": 0.3, "sg": "C2/m, No. 12", "raw_formation_energy_ev_per_fu": -15.98}

Entry 3:
{"formula": "K3Ce3SnS8", "functional": "PBE", "state": "optimized geometry", "lattice": [[4.166, 2.405, 7.325], [-4.166, 2.405, 7.325], [0.000, -4.811, 7.325]], "species": ["K", "K", "K", "Ce", "Ce", "Ce", "Sn", "S", "S", "S", "S", "S", "S", "S", "S"], "frac_coords": [[0.000, 0.500, 0.500], [0.500, 0.000, 0.500], [0.500, 0.500, 0.000], [0.000, 0.000, 0.500], [0.000, 0.500, 0.000], [0.500, 0.000, 0.000], [0.500, 0.500, 0.500], [0.221, 0.737, 0.737], [0.235, 0.235, 0.235], [0.263, 0.263, 0.779], [0.263, 0.779, 0.263], [0.737, 0.221, 0.737], [0.737, 0.737, 0.221], [0.765, 0.765, 0.765], [0.779, 0.263, 0.263]], "mass_density_g_cm3": 3.4, "magnetic_moment_mub_per_fu": 1.1, "sg": "R-3m, No. 166", "raw_formation_energy_ev_per_fu": -23.24}

Entry 4:
{"formula": "K3CeSn2S6", "functional": "PBE", "state": "optimized geometry", "lattice": [[3.595, -6.225, 0.000], [3.595, 6.225, 0.000], [-2.390, 0.000, 7.298]], "species": ["K", "K", "K", "Ce", "Sn", "Sn", "S", "S", "S", "S", "S", "S"], "frac_coords": [[0.000, 0.000, 0.000], [0.329, 0.671, 0.000], [0.671, 0.329, 0.000], [0.500, 0.500, 0.500], [0.166, 0.834, 0.500], [0.834, 0.166, 0.500], [0.108, 0.433, 0.298], [0.243, 0.243, 0.703], [0.433, 0.108, 0.298], [0.567, 0.892, 0.702], [0.757, 0.757, 0.297], [0.892, 0.567, 0.702]], "mass_density_g_cm3": 3.5, "magnetic_moment_mub_per_fu": 0.0, "sg": "C2/m, No. 12", "raw_formation_energy_ev_per_fu": -13.40}

Entry 5:
{"formula": "K4SrCe3S8", "functional": "PBE", "state": "optimized geometry", "lattice": [[4.236, 2.445, 7.336], [-4.236, 2.445, 7.336], [0.000, -4.891, 7.336]], "species": ["K", "K", "K", "K", "Sr", "Ce", "Ce", "Ce", "S", "S", "S", "S", "S", "S", "S", "S"], "frac_coords": [[0.000, 0.000, 0.000], [0.000, 0.500, 0.500], [0.500, 0.000, 0.500], [0.500, 0.500, 0.000], [0.500, 0.500, 0.500], [0.000, 0.000, 0.500], [0.000, 0.500, 0.000], [0.500, 0.000, 0.000], [0.219, 0.743, 0.743], [0.235, 0.235, 0.235], [0.257, 0.257, 0.781], [0.257, 0.781, 0.257], [0.743, 0.219, 0.743], [0.743, 0.743, 0.219], [0.765, 0.765, 0.765], [0.781, 0.257, 0.257]], "mass_density_g_cm3": 3.4, "magnetic_moment_mub_per_fu": 2.0, "sg": "R-3m, No. 166", "raw_formation_energy_ev_per_fu": -28.69}

Entry 6:
{"formula": "K3Ce3TaS8", "functional": "PBE", "state": "optimized geometry", "lattice": [[4.025, 2.324, 7.541], [-4.025, 2.324, 7.541], [0.000, -4.648, 7.541]], "species": ["K", "K", "K", "Ce", "Ce", "Ce", "Ta", "S", "S", "S", "S", "S", "S", "S", "S"], "frac_coords": [[0.000, 0.500, 0.500], [0.500, 0.000, 0.500], [0.500, 0.500, 0.000], [0.000, 0.000, 0.500], [0.000, 0.500, 0.000], [0.500, 0.000, 0.000], [0.500, 0.500, 0.500], [0.237, 0.237, 0.237], [0.261, 0.715, 0.715], [0.285, 0.285, 0.739], [0.285, 0.739, 0.285], [0.715, 0.261, 0.715], [0.715, 0.715, 0.261], [0.739, 0.285, 0.285], [0.763, 0.763, 0.763]], "mass_density_g_cm3": 3.8, "magnetic_moment_mub_per_fu": 4.0, "sg": "R-3m, No. 166", "raw_formation_energy_ev_per_fu": -23.95}

Entry 7:
{"formula": "K2CeTeS4", "functional": "PBE", "state": "optimized geometry", "lattice": [[5.836, -5.756, 0.000], [5.836, 5.756, 0.000], [-4.811, 0.000, 7.038]], "species": ["K", "K", "K", "K", "Ce", "Ce", "Te", "Te", "S", "S", "S", "S", "S", "S", "S", "S"], "frac_coords": [[0.000, 0.000, 0.000], [0.000, 0.000, 0.500], [0.000, 0.500, 0.000], [0.500, 0.000, 0.500], [0.500, 0.500, 0.000], [0.500, 0.500, 0.500], [0.000, 0.500, 0.500], [0.500, 0.000, 0.000], [0.222, 0.684, 0.445], [0.285, 0.328, 0.597], [0.316, 0.778, 0.055], [0.328, 0.285, 0.097], [0.672, 0.715, 0.903], [0.684, 0.222, 0.945], [0.715, 0.672, 0.403], [0.778, 0.316, 0.555]], "mass_density_g_cm3": 3.3, "magnetic_moment_mub_per_fu": 0.2, "sg": "C2/c, No. 15", "raw_formation_energy_ev_per_fu": -8.94}

Entry 8:
{"formula": "K4CeTh3S8", "functional": "PBE", "state": "optimized geometry", "lattice": [[4.127, 2.383, 7.486], [-4.127, 2.383, 7.486], [0.000, -4.765, 7.486]], "species": ["K", "K", "K", "K", "Ce", "Th", "Th", "Th", "S", "S", "S", "S", "S", "S", "S", "S"], "frac_coords": [[0.000, 0.000, 0.000], [0.000, 0.500, 0.500], [0.500, 0.000, 0.500], [0.500, 0.500, 0.000], [0.500, 0.500, 0.500], [0.000, 0.000, 0.500], [0.000, 0.500, 0.000], [0.500, 0.000, 0.000], [0.233, 0.739, 0.739], [0.238, 0.238, 0.238], [0.261, 0.261, 0.767], [0.261, 0.767, 0.261], [0.739, 0.233, 0.739], [0.739, 0.739, 0.233], [0.762, 0.762, 0.762], [0.767, 0.261, 0.261]], "mass_density_g_cm3": 4.7, "magnetic_moment_mub_per_fu": 2.0, "sg": "R-3m, No. 166", "raw_formation_energy_ev_per_fu": -27.32}

Entry 9:
{"formula": "K3CeTh2S6", "functional": "PBE", "state": "optimized geometry", "lattice": [[3.587, -6.212, 0.000], [3.587, 6.212, 0.000], [-2.391, 0.000, 7.470]], "species": ["K", "K", "K", "Ce", "Th", "Th", "S", "S", "S", "S", "S", "S"], "frac_coords": [[0.000, 0.000, 0.000], [0.334, 0.666, 0.000], [0.666, 0.334, 0.000], [0.500, 0.500, 0.500], [0.167, 0.833, 0.500], [0.833, 0.167, 0.500], [0.091, 0.429, 0.288], [0.232, 0.232, 0.712], [0.429, 0.091, 0.288], [0.571, 0.909, 0.712], [0.768, 0.768, 0.288], [0.909, 0.571, 0.712]], "mass_density_g_cm3": 4.6, "magnetic_moment_mub_per_fu": 2.1, "sg": "C2/m, No. 12", "raw_formation_energy_ev_per_fu": -20.63}

Entry 10:
{"formula": "K4Ce3TiS8", "functional": "PBE", "state": "optimized geometry", "lattice": [[4.065, 2.347, 7.373], [-4.065, 2.347, 7.373], [0.000, -4.694, 7.373]], "species": ["K", "K", "K", "K", "Ce", "Ce", "Ce", "Ti", "S", "S", "S", "S", "S", "S", "S", "S"], "frac_coords": [[0.000, 0.000, 0.000], [0.000, 0.500, 0.500], [0.500, 0.000, 0.500], [0.500, 0.500, 0.000], [0.000, 0.000, 0.500], [0.000, 0.500, 0.000], [0.500, 0.000, 0.000], [0.500, 0.500, 0.500], [0.237, 0.237, 0.237], [0.252, 0.723, 0.723], [0.277, 0.277, 0.748], [0.277, 0.748, 0.277], [0.723, 0.252, 0.723], [0.723, 0.723, 0.252], [0.748, 0.277, 0.277], [0.763, 0.763, 0.763]], "mass_density_g_cm3": 3.5, "magnetic_moment_mub_per_fu": 4.0, "sg": "R-3m, No. 166", "raw_formation_energy_ev_per_fu": -26.32}

Entry 11:
{"formula": "K3Ce3TiS8", "functional": "PBE", "state": "optimized geometry", "lattice": [[4.036, 2.330, 7.490], [-4.036, 2.330, 7.490], [0.000, -4.660, 7.490]], "species": ["K", "K", "K", "Ce", "Ce", "Ce", "Ti", "S", "S", "S", "S", "S", "S", "S", "S"], "frac_coords": [[0.000, 0.500, 0.500], [0.500, 0.000, 0.500], [0.500, 0.500, 0.000], [0.000, 0.000, 0.500], [0.000, 0.500, 0.000], [0.500, 0.000, 0.000], [0.500, 0.500, 0.500], [0.236, 0.236, 0.236], [0.257, 0.715, 0.715], [0.285, 0.285, 0.743], [0.285, 0.743, 0.285], [0.715, 0.257, 0.715], [0.715, 0.715, 0.257], [0.743, 0.285, 0.285], [0.764, 0.764, 0.764]], "mass_density_g_cm3": 3.3, "magnetic_moment_mub_per_fu": 3.0, "sg": "R-3m, No. 166", "raw_formation_energy_ev_per_fu": -25.14}

Entry 12:
{"formula": "K2CeTmS4", "functional": "PBE", "state": "optimized geometry", "lattice": [[7.124, 0.000, 0.000], [0.000, 4.109, 0.000], [-2.366, 0.000, 7.362]], "species": ["K", "K", "Ce", "Tm", "S", "S", "S", "S"], "frac_coords": [[0.000, 0.000, 0.000], [0.500, 0.500, 0.000], [0.000, 0.500, 0.500], [0.500, 0.000, 0.500], [0.246, 0.000, 0.704], [0.277, 0.500, 0.300], [0.723, 0.500, 0.700], [0.754, 0.000, 0.296]], "mass_density_g_cm3": 4.0, "magnetic_moment_mub_per_fu": 1.0, "sg": "P2/m, No. 10", "raw_formation_energy_ev_per_fu": -14.62}

Entry 13:
{"formula": "K4CeTm3S8", "functional": "PBE", "state": "optimized geometry", "lattice": [[4.057, 2.342, 7.359], [-4.057, 2.342, 7.359], [0.000, -4.685, 7.359]], "species": ["K", "K", "K", "K", "Ce", "Tm", "Tm", "Tm", "S", "S", "S", "S", "S", "S", "S", "S"], "frac_coords": [[0.000, 0.000, 0.000], [0.000, 0.500, 0.500], [0.500, 0.000, 0.500], [0.500, 0.500, 0.000], [0.500, 0.500, 0.500], [0.000, 0.000, 0.500], [0.000, 0.500, 0.000], [0.500, 0.000, 0.000], [0.223, 0.739, 0.739], [0.233, 0.233, 0.233], [0.261, 0.261, 0.777], [0.261, 0.777, 0.261], [0.739, 0.223, 0.739], [0.739, 0.739, 0.223], [0.767, 0.767, 0.767], [0.777, 0.261, 0.261]], "mass_density_g_cm3": 4.2, "magnetic_moment_mub_per_fu": 1.0, "sg": "R-3m, No. 166", "raw_formation_energy_ev_per_fu": -29.68}

Entry 14:
{"formula": "K3Ce3TmS8", "functional": "PBE", "state": "optimized geometry", "lattice": [[4.124, 2.381, 7.443], [-4.124, 2.381, 7.443], [0.000, -4.762, 7.443]], "species": ["K", "K", "K", "Ce", "Ce", "Ce", "Tm", "S", "S", "S", "S", "S", "S", "S", "S"], "frac_coords": [[0.000, 0.500, 0.500], [0.500, 0.000, 0.500], [0.500, 0.500, 0.000], [0.000, 0.000, 0.500], [0.000, 0.500, 0.000], [0.500, 0.000, 0.000], [0.500, 0.500, 0.500], [0.235, 0.235, 0.235], [0.240, 0.727, 0.727], [0.273, 0.273, 0.760], [0.273, 0.760, 0.273], [0.727, 0.240, 0.727], [0.727, 0.727, 0.240], [0.760, 0.273, 0.273], [0.765, 0.765, 0.765]], "mass_density_g_cm3": 3.6, "magnetic_moment_mub_per_fu": 2.0, "sg": "R-3m, No. 166", "raw_formation_energy_ev_per_fu": -27.57}

Entry 15:
{"formula": "K2CeUS4", "functional": "PBE", "state": "optimized geometry", "lattice": [[7.143, 0.000, 0.000], [0.000, 4.117, 0.000], [-2.376, 0.000, 7.413]], "species": ["K", "K", "Ce", "U", "S", "S", "S", "S"], "frac_coords": [[0.000, 0.000, 0.000], [0.500, 0.500, 0.000], [0.000, 0.500, 0.500], [0.500, 0.000, 0.500], [0.243, 0.000, 0.707], [0.272, 0.500, 0.297], [0.728, 0.500, 0.703], [0.757, 0.000, 0.293]], "mass_density_g_cm3": 4.5, "magnetic_moment_mub_per_fu": 4.0, "sg": "P2/m, No. 10", "raw_formation_energy_ev_per_fu": -12.67}

Entry 16:
{"formula": "K2CeUS6", "functional": "PBE", "state": "optimized geometry", "lattice": [[7.327, 0.000, 0.000], [0.000, 7.368, 0.000], [-7.314, 0.000, 10.413]], "species": ["K", "K", "K", "K", "Ce", "Ce", "U", "U", "S", "S", "S", "S", "S", "S", "S", "S", "S", "S", "S", "S"], "frac_coords": [[0.245, 0.027, 0.250], [0.245, 0.473, 0.750], [0.755, 0.527, 0.250], [0.755, 0.973, 0.750], [0.500, 0.000, 0.000], [0.500, 0.500, 0.500], [0.000, 0.000, 0.500], [0.000, 0.500, 0.000], [0.184, 0.226, 0.974], [0.184, 0.274, 0.474], [0.248, 0.711, 0.974], [0.248, 0.789, 0.474], [0.293, 0.007, 0.742], [0.293, 0.493, 0.242], [0.707, 0.507, 0.758], [0.707, 0.993, 0.258], [0.752, 0.211, 0.526], [0.752, 0.289, 0.026], [0.816, 0.726, 0.526], [0.816, 0.774, 0.026]], "mass_density_g_cm3": 3.8, "magnetic_moment_mub_per_fu": 0.0, "sg": "P2_1/c, No. 14", "raw_formation_energy_ev_per_fu": -14.09}

Entry 17:
{"formula": "KCeUS4", "functional": "PBE", "state": "optimized geometry", "lattice": [[-4.168, 4.310, 6.003], [4.168, -4.310, 6.003], [4.168, 4.310, -6.003]], "species": ["K", "K", "Ce", "Ce", "U", "U", "S", "S", "S", "S", "S", "S", "S", "S"], "frac_coords": [[0.378, 0.128, 0.250], [0.622, 0.872, 0.750], [0.000, 0.500, 0.500], [0.500, 0.500, 0.000], [0.000, 0.000, 0.500], [0.000, 0.500, 0.000], [0.191, 0.735, 0.455], [0.220, 0.265, 0.955], [0.225, 0.258, 0.533], [0.225, 0.692, 0.967], [0.775, 0.308, 0.033], [0.775, 0.742, 0.467], [0.780, 0.735, 0.045], [0.809, 0.265, 0.545]], "mass_density_g_cm3": 4.2, "magnetic_moment_mub_per_fu": 3.0, "sg": "Imma, No. 74", "raw_formation_energy_ev_per_fu": -11.15}

Entry 18:
{"formula": "K3CeU2S6", "functional": "PBE", "state": "optimized geometry", "lattice": [[3.540, -6.132, 0.000], [3.540, 6.132, 0.000], [-2.362, 0.000, 7.432]], "species": ["K", "K", "K", "Ce", "U", "U", "S", "S", "S", "S", "S", "S"], "frac_coords": [[0.000, 0.000, 0.000], [0.335, 0.665, 0.000], [0.665, 0.335, 0.000], [0.500, 0.500, 0.500], [0.167, 0.833, 0.500], [0.833, 0.167, 0.500], [0.089, 0.432, 0.295], [0.226, 0.226, 0.705], [0.432, 0.089, 0.295], [0.568, 0.911, 0.705], [0.774, 0.774, 0.295], [0.911, 0.568, 0.705]], "mass_density_g_cm3": 4.8, "magnetic_moment_mub_per_fu": 7.0, "sg": "C2/m, No. 12", "raw_formation_energy_ev_per_fu": -18.24}

Entry 19:
{"formula": "K2CeU2S6", "functional": "PBE", "state": "optimized geometry", "lattice": [[3.511, -6.120, 0.000], [3.511, 6.120, 0.000], [-2.310, 0.000, 7.536]], "species": ["K", "K", "Ce", "U", "U", "S", "S", "S", "S", "S", "S"], "frac_coords": [[0.166, 0.834, 0.000], [0.834, 0.166, 0.000], [0.000, 0.000, 0.500], [0.335, 0.665, 0.500], [0.665, 0.335, 0.500], [0.060, 0.407, 0.695], [0.276, 0.276, 0.302], [0.407, 0.060, 0.695], [0.593, 0.940, 0.305], [0.724, 0.724, 0.698], [0.940, 0.593, 0.305]], "mass_density_g_cm3": 4.5, "magnetic_moment_mub_per_fu": 6.0, "sg": "C2/m, No. 12", "raw_formation_energy_ev_per_fu": -17.19}